# TaMoPb2

A relaxed TaMoPb2 crystal (PBE, Alexandria).

## Properties
The value obtained for the energy relative to the lowest polymorph listed for this composition is 74 meV/atom. The value obtained for the formation enthalpy at 0 K is 0.356 eV per atom.

Lattice parameters (Å, degrees): 9.824 9.824 9.824 19.50 19.50 19.50
Sites, in units of the cell vectors:
Ta: 0.000 0.000 0.000
Mo: 0.272 0.272 0.272
Pb: 0.523 0.523 0.523
Pb: 0.755 0.755 0.755